# Na2TiSnS5

Crystalline Na2TiSnS5 at its relaxed geometry (PBE-GGA, Alexandria).

Cell: 3.695 17.055 13.184 Å, 90.00 90.00 90.00°
Space group Cmc2_1 (No. 36)
One atom of each set of equivalent atoms:
Na1 0.000 0.098 0.000 (multiplicity 4)
Na2 0.000 0.132 0.650 (multiplicity 4)
Ti1 0.000 0.238 0.384 (multiplicity 4)
Sn1 0.000 0.433 0.770 (multiplicity 4)
S1 0.000 0.060 0.392 (multiplicity 4)
S2 0.000 0.273 0.001 (multiplicity 4)
S3 0.000 0.291 0.750 (multiplicity 4)
S4 0.000 0.363 0.341 (multiplicity 4)
S5 0.000 0.499 0.615 (multiplicity 4)

- Formation energy from raw total energies: -0.93 eV/atom
- Total magnetic moment: 0.00 μB/cell

=====

# CaTi2OsN

Crystalline CaTi2OsN at its relaxed geometry (PBE-GGA, Alexandria).

Cell: 4.604 4.604 5.656 Å, 90.00 90.00 90.00°
Space group P4/mmm (No. 123)
One atom of each set of equivalent atoms:
Ca1 0.000 0.000 0.000 (multiplicity 1)
Ti1 0.000 0.500 0.500 (multiplicity 2)
Os1 0.000 0.000 0.500 (multiplicity 1)
N1 0.500 0.500 0.000 (multiplicity 1)

- Formation energy from raw total energies: 1.23 eV/atom
- Total magnetic moment: 0.00 μB/cell
- Fermi-level density of states: 5.175 states/eV/f.u.

=====

# NaLaTbTl

Crystalline NaLaTbTl at its relaxed geometry (PBE-GGA, Alexandria).

Cell: 7.857 7.857 7.857 Å, 90.00 90.00 90.00°
Space group F-43m (No. 216)
One atom of each set of equivalent atoms:
Na1 0.000 0.000 0.000 (multiplicity 4)
La1 0.250 0.250 0.750 (multiplicity 4)
Tb1 0.250 0.250 0.250 (multiplicity 4)
Tl1 0.000 0.000 0.500 (multiplicity 4)

- Energy relative to the elements: -0.090 eV per atom
- Total magnetic moment: 0.00 μB/cell
- Fermi-level density of states: 5.132 states/eV/f.u.

=====

# Nb2Re2Se

Crystalline Nb2Re2Se at its relaxed geometry (PBE-GGA, Alexandria).

Cell: 4.321 4.321 10.849 Å, 90.00 90.00 90.00°
Space group I4/mmm (No. 139)
One atom of each set of equivalent atoms:
Nb1 0.000 0.500 0.250 (multiplicity 4)
Re1 0.000 0.000 0.117 (multiplicity 4)
Se1 0.000 0.000 0.500 (multiplicity 2)

- Formation energy from raw total energies: 0.66 eV/atom
- Total magnetic moment: 0.00 μB/cell
- Fermi-level density of states: 4.081 states/eV/f.u.

=====

# Nd2Ge3Pd5

Crystalline Nd2Ge3Pd5 at its relaxed geometry (PBE-GGA, Alexandria).

Cell: 12.754 11.056 6.011 Å, 90.00 115.33 90.00°
Space group C2/c (No. 15)
One atom of each set of equivalent atoms:
Nd1 0.137 0.223 0.147 (multiplicity 8)
Ge1 0.000 0.478 0.250 (multiplicity 4)
Ge2 0.137 0.117 0.641 (multiplicity 8)
Pd1 0.000 0.005 0.250 (multiplicity 4)
Pd2 0.091 0.336 0.636 (multiplicity 8)
Pd3 0.228 0.493 0.493 (multiplicity 8)

- Energy relative to the elements: -0.781 eV per atom
- Total magnetic moment: 0.00 μB/cell
- Fermi-level density of states: 7.179 states/eV/f.u.

=====

# K2CuP

Crystalline K2CuP at its relaxed geometry (PBE-GGA, Alexandria).

Cell: 7.022 4.053 9.612 Å, 90.00 104.68 90.00°
Space group Cm (No. 8)
One atom of each set of equivalent atoms:
K1 0.000 0.000 0.000 (multiplicity 2)
K2 0.175 0.000 0.503 (multiplicity 2)
Cu1 0.254 0.500 0.252 (multiplicity 2)
P1 0.420 0.000 0.252 (multiplicity 2)

- Energy relative to the elements: -0.219 eV per atom
- Total magnetic moment: 0.00 μB/cell
- Fermi-level density of states: 1.567 states/eV/f.u.

=====

# Hf2TiV

Crystalline Hf2TiV at its relaxed geometry (PBE-GGA, Alexandria).

Cell: 3.253 3.253 7.193 Å, 90.00 90.00 90.00°
Space group P4/mmm (No. 123)
One atom of each set of equivalent atoms:
Hf1 0.000 0.000 0.234 (multiplicity 2)
Ti1 0.500 0.500 0.500 (multiplicity 1)
V1 0.500 0.500 0.000 (multiplicity 1)

- Energy relative to the elements: 0.146 eV per atom
- Total magnetic moment: 2.60 μB/cell
- Fermi-level density of states: 7.209 states/eV/f.u.

=====

# ErCoB

Crystalline ErCoB at its relaxed geometry (PBE-GGA, Alexandria).

Cell: 9.484 3.468 6.338 Å, 90.00 125.26 90.00°
Space group C2/m (No. 12)
One atom of each set of equivalent atoms:
Er1 0.060 0.000 0.314 (multiplicity 4)
Co1 0.196 0.500 0.093 (multiplicity 4)
B1 0.192 0.500 0.762 (multiplicity 4)

- Energy relative to the elements: -0.417 eV per atom
- Total magnetic moment: 0.00 μB/cell
- Fermi-level density of states: 1.531 states/eV/f.u.

=====

# TaIO2

Crystalline TaIO2 at its relaxed geometry (PBE-GGA, Alexandria).

Cell: 5.960 5.960 5.960 Å, 90.00 90.00 90.00°
Space group Fm-3m (No. 225)
One atom of each set of equivalent atoms:
Ta1 0.000 0.000 0.000 (multiplicity 4)
I1 0.000 0.000 0.500 (multiplicity 4)
O1 0.250 0.250 0.250 (multiplicity 8)

- Formation energy from raw total energies: -0.05 eV/atom
- Total magnetic moment: 0.00 μB/cell
- Fermi-level density of states: 1.843 states/eV/f.u.

=====

# CeLuHfTh

Crystalline CeLuHfTh at its relaxed geometry (PBE-GGA, Alexandria).

Cell: 7.659 7.659 7.659 Å, 90.00 90.00 90.00°
Space group F-43m (No. 216)
One atom of each set of equivalent atoms:
Ce1 0.000 0.000 0.000 (multiplicity 4)
Lu1 0.250 0.250 0.250 (multiplicity 4)
Hf1 0.250 0.250 0.750 (multiplicity 4)
Th1 0.000 0.000 0.500 (multiplicity 4)

- Energy relative to the elements: 0.210 eV per atom
- Total magnetic moment: 2.82 μB/cell
- Fermi-level density of states: 9.559 states/eV/f.u.

=====

# Ac5Hg2Rh2

Crystalline Ac5Hg2Rh2 at its relaxed geometry (PBE-GGA, Alexandria).

Cell: 16.935 8.152 8.433 Å, 90.00 90.00 90.00°
Space group Cmce (No. 64)
One atom of each set of equivalent atoms:
Ac1 0.000 0.000 0.000 (multiplicity 4)
Ac2 0.121 0.165 0.331 (multiplicity 16)
Hg1 0.213 0.000 0.000 (multiplicity 8)
Rh1 0.000 0.136 0.634 (multiplicity 8)

- Energy relative to the elements: -0.526 eV per atom
- Total magnetic moment: 0.00 μB/cell
- Fermi-level density of states: 6.632 states/eV/f.u.

=====

# BaCaRe

Crystalline BaCaRe at its relaxed geometry (PBE-GGA, Alexandria).

Cell: 5.4681 5.4681 2.9857 Å, 90.00 90.00 120.00°
Space group P3m1 (No. 156)
One atom of each set of equivalent atoms:
Ba1 0.0000 0.0000 0.0000 (multiplicity 1)
Ca1 0.6667 0.3333 0.9933 (multiplicity 1)
Re1 0.3333 0.6667 0.4980 (multiplicity 1)

- Energy relative to the elements: 1.087 eV per atom
- Total magnetic moment: 0.00 μB/cell
- Fermi-level density of states: 2.921 states/eV/f.u.